(1)
First-principles (PBE) data for crystalline YTi3Cd at its relaxed geometry, as listed in Alexandria.

Cell: 4.8884 4.8884 4.8884 Å, 90.00 90.00 90.00°
Space group Pm-3m (No. 221)
Asymmetric unit:
Y: 0.0000 0.0000 0.0000 (multiplicity 1)
Ti: 0.0000 0.0000 0.5000 (multiplicity 3)
Cd: 0.5000 0.5000 0.5000 (multiplicity 1)

Values from the calculation:
Fermi-level density of states = 7.99 states/eV per cell
calculated total energy = -4.822 eV/atom
total magnetic moment = 2.0 μB/cell
ΔE to the lowest computed polymorph = 418 meV/atom

(2)
First-principles (PBE) data for crystalline La3MgGe2Pd9 at its relaxed geometry, as listed in Alexandria.

Cell: 5.8501 5.8501 11.0537 Å, 90.00 90.00 120.00°
Space group P-3m1 (No. 164)
Asymmetric unit:
La: 0.0000 0.0000 0.0000 (multiplicity 1)
La: 0.3333 0.6667 0.6331 (multiplicity 2)
Mg: 0.0000 0.0000 0.5000 (multiplicity 1)
Ge: 0.3333 0.6667 0.1612 (multiplicity 2)
Pd: 0.0000 0.5000 0.0000 (multiplicity 3)
Pd: 0.1610 0.3220 0.3145 (multiplicity 6)

Values from the calculation:
Fermi-level density of states = 6.54 states/eV per cell
calculated total energy = -5.429 eV/atom
total magnetic moment = 0.0 μB/cell

(3)
First-principles (PBE) data for crystalline SrTe2Br at its relaxed geometry, as listed in Alexandria.

Cell: 4.3821 4.3821 7.6151 Å, 90.00 90.99 90.00°
Space group Pm (No. 6)
Asymmetric unit:
Sr: 0.0000 0.0000 0.0000 (multiplicity 1)
Te: 0.4890 0.0000 0.6523 (multiplicity 1)
Te: 0.9890 0.5000 0.6524 (multiplicity 1)
Br: 0.5037 0.5000 0.1327 (multiplicity 1)

Values from the calculation:
Fermi-level density of states = 0.50 states/eV per cell
calculated total energy = -3.572 eV/atom
total magnetic moment = 0.0 μB/cell
uncorrected formation energy = -1163 meV/atom
ΔE to the lowest computed polymorph = 22 meV/atom

Q: What is the formula in the second record?
A: La3MgGe2Pd9

Q: What is the Fermi-level density of states in the third record?
A: 0.50 states/eV per cell

Q: What is the Fermi-level density of states in the third record?
A: 0.50 states/eV per cell